## Pr4Cd2Hg (PBE)

Data for crystalline Pr4Cd2Hg at its relaxed geometry.

Properties
energy relative to the lowest polymorph listed for this composition	39	meV/atom
DFT formation energy	-0.170	eV per atom
V	222	Å³ per cell
crystal system	monoclinic
N(E_F)	7.785	states/eV/f.u.
E_tot	-22.4	eV per formula unit

abc: 3.7226 8.1461 8.3565
angles: 115.50 102.87 90.00
With the nearest neighbours (Å) after each atom.
Atoms (fractional coordinates):
Pr (0.9100, 0.2800, 0.8201)  1 Hg 3.21, 3 Cd 3.26, 1 Pr 3.49
Pr (0.0900, 0.7200, 0.1799)  1 Hg 3.21, 3 Cd 3.26, 1 Pr 3.49
Pr (0.6282, 0.3597, 0.2563)  2 Hg 3.32, 3 Cd 3.36-3.59
Pr (0.3718, 0.6403, 0.7437)  2 Hg 3.32, 3 Cd 3.36-3.59
Cd (0.7715, 0.8441, 0.5431)  6 Pr 3.26-3.59, 1 Hg 3.36, 2 Cd 3.46
Cd (0.2285, 0.1559, 0.4569)  6 Pr 3.26-3.59, 1 Hg 3.36, 2 Cd 3.46
Hg (0.0000, 0.0000, 0.0000)  6 Pr 3.21-3.32, 2 Cd 3.36